Density functional theory data (PBE-GGA) for LiTl2Pb after structural relaxation.

Lattice parameters (Å, degrees): 3.692 5.467 5.491 90.00 90.00 90.00
Space group Pmmm (No. 47)
One atom of each set of equivalent atoms:
1 Li 0.000 0.000 0.000 [1 per cell]
2 Tl 0.000 0.500 0.500 [1 per cell]
3 Tl 0.500 0.000 0.500 [1 per cell]
4 Pb 0.500 0.500 0.000 [1 per cell]

Output
Crystal system: orthorhombic
Energy relative to the lowest polymorph listed for this composition: 11 kJ/mol of formula units

Density functional theory data (PBE-GGA) for Li4Tl7Pb after structural relaxation.

Lattice parameters (Å, degrees): 14.202 5.776 9.482 90.00 125.09 90.00
Space group C2/m (No. 12)
One atom of each set of equivalent atoms:
1 Li 0.044 0.000 0.227 [4 per cell]
2 Li 0.191 0.000 0.849 [4 per cell]
3 Tl 0.000 0.000 0.500 [2 per cell]
4 Tl 0.066 0.500 0.905 [4 per cell]
5 Tl 0.216 0.500 0.390 [4 per cell]
6 Tl 0.220 0.000 0.174 [4 per cell]
7 Pb 0.000 0.500 0.500 [2 per cell]

Output
Crystal system: monoclinic

Density functional theory data (PBE-GGA) for LiTlPb after structural relaxation.

Lattice parameters (Å, degrees): 9.717 3.459 9.910 90.00 91.12 90.00
Space group C2/m (No. 12)
One atom of each set of equivalent atoms:
1 Li 0.144 0.000 0.254 [4 per cell]
2 Tl 0.137 0.000 0.581 [4 per cell]
3 Pb 0.137 0.000 0.910 [4 per cell]

Output
Crystal system: monoclinic

| no. | formation enthalpy at 0 K (eV per atom) |
| --- | --- |
| 1 | -0.07 |
| 2 | -0.02 |
| 3 | -0.05 |